Record 1
Crystalline HoErFePd at its relaxed geometry. Source: the Alexandria database, functional PBE.

a = 6.805 Å, b = 6.805 Å, c = 6.805 Å
α = 90.00°, β = 90.00°, γ = 90.00°
Positions (direct):
Ho (0.000, 0.000, 0.000)
Ho (0.000, 0.500, 0.500)
Ho (0.500, 0.000, 0.500)
Ho (0.500, 0.500, 0.000)
Er (0.000, 0.000, 0.500)
Er (0.000, 0.500, 0.000)
Er (0.500, 0.000, 0.000)
Er (0.500, 0.500, 0.500)
Fe (0.250, 0.250, 0.750)
Fe (0.250, 0.750, 0.250)
Fe (0.750, 0.250, 0.250)
Fe (0.750, 0.750, 0.750)
Pd (0.250, 0.250, 0.250)
Pd (0.250, 0.750, 0.750)
Pd (0.750, 0.250, 0.750)
Pd (0.750, 0.750, 0.250)

## Properties
**Formation energy from the elements**: -344 meV/atom
**Space group**: F-43m

Record 2
Crystalline Er4FeI5 at its relaxed geometry. Source: the Alexandria database, functional PBE.

a = 9.836 Å, b = 9.836 Å, c = 8.922 Å
α = 102.60°, β = 102.60°, γ = 23.55°
Positions (direct):
Er (0.000, 0.000, 0.202)
Er (0.000, 0.000, 0.798)
Er (0.367, 0.367, 0.933)
Er (0.633, 0.633, 0.067)
Fe (0.500, 0.500, 0.000)
I (0.167, 0.167, 0.337)
I (0.173, 0.173, 0.833)
I (0.500, 0.500, 0.500)
I (0.827, 0.827, 0.167)
I (0.833, 0.833, 0.663)

## Properties
**E_form (uncorrected)**: -9.27 eV per formula unit
**Space group**: C2/m

Record 3
Crystalline Er5Fe2I2 at its relaxed geometry. Source: the Alexandria database, functional PBE.

a = 9.214 Å, b = 9.214 Å, c = 7.527 Å
α = 90.00°, β = 90.00°, γ = 48.22°
Positions (direct):
Er (0.000, 0.000, 0.000)
Er (0.059, 0.732, 0.663)
Er (0.232, 0.559, 0.163)
Er (0.268, 0.941, 0.663)
Er (0.441, 0.768, 0.163)
Er (0.500, 0.500, 0.500)
Er (0.559, 0.232, 0.837)
Er (0.732, 0.059, 0.337)
Er (0.768, 0.441, 0.837)
Er (0.941, 0.268, 0.337)
Fe (0.121, 0.879, 0.380)
Fe (0.379, 0.621, 0.880)
Fe (0.621, 0.379, 0.120)
Fe (0.879, 0.121, 0.620)
I (0.218, 0.218, 0.000)
I (0.282, 0.282, 0.500)
I (0.718, 0.718, 0.500)
I (0.782, 0.782, 0.000)

## Properties
**E_form (uncorrected)**: -3.37 eV per formula unit
**Space group**: Cmce

Record 4
Crystalline Er4InFe at its relaxed geometry. Source: the Alexandria database, functional PBE.

a = 7.717 Å, b = 7.717 Å, c = 5.958 Å
α = 99.65°, β = 99.65°, γ = 111.72°
Positions (direct):
Er (0.056, 0.730, 0.953)
Er (0.199, 0.352, 0.614)
Er (0.270, 0.944, 0.547)
Er (0.352, 0.199, 0.114)
Er (0.648, 0.801, 0.886)
Er (0.730, 0.056, 0.453)
Er (0.801, 0.648, 0.386)
Er (0.944, 0.270, 0.047)
In (0.374, 0.626, 0.250)
In (0.626, 0.374, 0.750)
Fe (0.001, 0.999, 0.750)
Fe (0.999, 0.001, 0.250)

## Properties
**Formation energy from the elements**: -202 meV/atom
**Space group**: C2/c

Record 5
Crystalline Er3InFe at its relaxed geometry. Source: the Alexandria database, functional PBE.

a = 5.092 Å, b = 5.092 Å, c = 5.092 Å
α = 90.00°, β = 90.00°, γ = 90.00°
Positions (direct):
Er (0.000, 0.000, 0.500)
Er (0.000, 0.500, 0.000)
Er (0.500, 0.000, 0.000)
In (0.500, 0.500, 0.500)
Fe (0.000, 0.000, 0.000)

## Properties
**Formation energy from the elements**: -51 meV/atom
**Energy above the lowest structure with this stoichiometry**: 184.1 meV per atom
**Space group**: Pm-3m

Record 6
Crystalline Er5InFe2 at its relaxed geometry. Source: the Alexandria database, functional PBE.

a = 8.886 Å, b = 8.886 Å, c = 8.886 Å
α = 131.22°, β = 131.22°, γ = 71.46°
Positions (direct):
Er (0.000, 0.000, 0.000)
Er (0.045, 0.545, 0.852)
Er (0.193, 0.045, 0.500)
Er (0.307, 0.807, 0.852)
Er (0.455, 0.307, 0.500)
Er (0.500, 0.500, 0.000)
Er (0.545, 0.693, 0.500)
Er (0.693, 0.193, 0.148)
Er (0.807, 0.955, 0.500)
Er (0.955, 0.455, 0.148)
In (0.250, 0.250, 0.000)
In (0.750, 0.750, 0.000)
Fe (0.107, 0.393, 0.500)
Fe (0.393, 0.893, 0.286)
Fe (0.607, 0.107, 0.714)
Fe (0.893, 0.607, 0.500)

## Properties
**Formation energy from the elements**: -150 meV/atom
**Space group**: I4/mcm